Record 1
RbTlBrF: relaxed, PBE.

For the total energy, the calculation gives -0.1207 hartree per atom. For the energy above the most stable polymorph in this dataset, the calculation gives 0.144 eV/atom. The uncorrected formation energy is -6.258 eV/f.u.

a b c (Å): 5.4598 5.4598 5.4598
angles (deg): 60.00 60.00 60.00
Last column: nearest neighbours and their distance in Å.
Element x y z (fractional)
Rb 0.0000 0.0000 0.0000  4 F 3.34, 4 Br 3.34
Tl 0.5000 0.5000 0.5000  4 F 3.34, 4 Br 3.34
Br 0.2500 0.2500 0.2500  4 Tl 3.34, 4 Rb 3.34
F 0.7500 0.7500 0.7500  4 Tl 3.34, 4 Rb 3.34

=====

Record 2
Y2ZrIr: relaxed, PBE.

For the total energy, the calculation gives -0.2864 hartree per atom. For the energy above the most stable polymorph in this dataset, the calculation gives 0.226 eV/atom. The energy relative to the elements is -0.84 eV per formula unit.

a b c (Å): 9.6049 9.6049 9.6049
angles (deg): 21.95 21.95 21.95
Last column: nearest neighbours and their distance in Å.
Element x y z (fractional)
Y 0.0000 0.0000 0.0000  3 Zr 3.44, 9 Y 3.66-3.83
Y 0.2195 0.2195 0.2195  3 Ir 2.81
Zr 0.7634 0.7634 0.7634  3 Ir 2.64
Ir 0.4867 0.4867 0.4867  3 Zr 2.64, 3 Y 2.81

=====

Record 3
Ba2TbCl7: relaxed, PBE.

For the total energy, the calculation gives -0.1685 hartree per atom. The uncorrected formation energy is -24.454 eV/f.u.

a b c (Å): 6.9829 15.6944 10.6716
angles (deg): 90.00 90.71 90.00
Last column: nearest neighbours and their distance in Å.
Element x y z (fractional)
Ba 0.2314 0.2197 0.4516  9 Cl 3.14-3.40
Ba 0.2314 0.2803 0.9516  9 Cl 3.14-3.40
Ba 0.2333 0.5601 0.3239  9 Cl 3.14-3.40
Ba 0.2333 0.9399 0.8239  9 Cl 3.14-3.40
Ba 0.7667 0.0601 0.1761  9 Cl 3.14-3.40
Ba 0.7667 0.4399 0.6761  9 Cl 3.14-3.40
Ba 0.7686 0.7197 0.0484  9 Cl 3.14-3.40
Ba 0.7686 0.7803 0.5484  9 Cl 3.14-3.40
Tb 0.2789 0.6275 0.7808  7 Cl 2.69-2.81
Tb 0.2789 0.8725 0.2808  7 Cl 2.69-2.81
Tb 0.7211 0.1275 0.7192  7 Cl 2.69-2.81
Tb 0.7211 0.3725 0.2192  7 Cl 2.69-2.81
Cl 0.0111 0.7416 0.3011  1 Tb 2.79
Cl 0.0111 0.7584 0.8011  1 Tb 2.79
Cl 0.0126 0.6056 0.5842  1 Tb 2.81
Cl 0.0126 0.8944 0.0842  1 Tb 2.81
Cl 0.1969 0.0396 0.2882  1 Tb 2.69
Cl 0.1969 0.4604 0.7882  1 Tb 2.69
Cl 0.2001 0.6382 0.0268  1 Tb 2.69
Cl 0.2001 0.8618 0.5268  1 Tb 2.69
Cl 0.3776 0.0702 0.6231  1 Tb 2.75
Cl 0.3776 0.4298 0.1231  1 Tb 2.75
Cl 0.4984 0.7270 0.2930  1 Tb 2.75
Cl 0.4984 0.7730 0.7930  1 Tb 2.75
Cl 0.4991 0.6043 0.5715  1 Tb 2.75
Cl 0.4991 0.8957 0.0715  1 Tb 2.75
Cl 0.5009 0.1043 0.9285  1 Tb 2.75
Cl 0.5009 0.3957 0.4285  1 Tb 2.75
Cl 0.5016 0.2270 0.2070  1 Tb 2.75
Cl 0.5016 0.2730 0.7070  1 Tb 2.75
Cl 0.6224 0.5702 0.8769  1 Tb 2.75
Cl 0.6224 0.9298 0.3769  1 Tb 2.75
Cl 0.7999 0.1382 0.4732  1 Tb 2.69
Cl 0.7999 0.3618 0.9732  1 Tb 2.69
Cl 0.8031 0.5396 0.2118  1 Tb 2.69
Cl 0.8031 0.9604 0.7118  1 Tb 2.69
Cl 0.9874 0.1056 0.9158  1 Tb 2.81
Cl 0.9874 0.3944 0.4158  1 Tb 2.81
Cl 0.9889 0.2416 0.1989  1 Tb 2.79
Cl 0.9889 0.2584 0.6989  1 Tb 2.79

=====

Record 4
Ca2TcBiO6: relaxed, PBE.

For the total energy, the calculation gives -0.2449 hartree per atom. The uncorrected formation energy is -18.632 eV/f.u.

a b c (Å): 5.6474 5.6474 5.1877
angles (deg): 90.00 90.00 90.00
Last column: nearest neighbours and their distance in Å.
Element x y z (fractional)
Ca 0.0000 0.5000 0.0000  4 O 2.34
Ca 0.5000 0.0000 0.0000  4 O 2.34
Tc 0.0000 0.0000 0.6196  1 O 1.74
Bi 0.5000 0.5000 0.6038  5 O 2.13-2.34
O 0.0000 0.0000 0.2841  1 Tc 1.74
O 0.2277 0.2277 0.7678  1 Tc 1.97
O 0.2277 0.7723 0.7678  1 Tc 1.97
O 0.5000 0.5000 0.1930  1 Bi 2.13
O 0.7723 0.2277 0.7678  1 Tc 1.97
O 0.7723 0.7723 0.7678  1 Tc 1.97

=====

Record 5
Ac4LaSi4: relaxed, PBE.

For the total energy, the calculation gives -0.1901 hartree per atom. The uncorrected formation energy is -3.515 eV/f.u.

a b c (Å): 9.7831 9.7831 6.1614
angles (deg): 90.00 90.00 90.00
Last column: nearest neighbours and their distance in Å.
Element x y z (fractional)
Ac 0.0431 0.6888 0.1175  4 Si 3.14-3.32
Ac 0.1888 0.9569 0.6175  4 Si 3.14-3.32
Ac 0.3112 0.5431 0.6175  4 Si 3.14-3.32
Ac 0.4569 0.8112 0.1175  4 Si 3.14-3.32
Ac 0.5431 0.1888 0.8825  4 Si 3.14-3.32
Ac 0.6888 0.4569 0.3825  4 Si 3.14-3.32
Ac 0.8112 0.0431 0.3825  4 Si 3.14-3.32
Ac 0.9569 0.3112 0.8825  4 Si 3.14-3.32
La 0.2500 0.2500 0.2500  4 Si 2.94
La 0.7500 0.7500 0.7500  4 Si 2.94
Si 0.0049 0.3987 0.3907  1 Si 2.40
Si 0.1013 0.0049 0.1093  1 Si 2.40
Si 0.3987 0.4951 0.1093  1 Si 2.40
Si 0.4951 0.1013 0.3907  1 Si 2.40
Si 0.5049 0.8987 0.6093  1 Si 2.40
Si 0.6013 0.5049 0.8907  1 Si 2.40
Si 0.8987 0.9951 0.8907  1 Si 2.40
Si 0.9951 0.6013 0.6093  1 Si 2.40

=====

Record 6
La3Nd2Dy2: relaxed, PBE.

For the total energy, the calculation gives -0.1752 hartree per atom. For the energy above the most stable polymorph in this dataset, the calculation gives 0.000 eV/atom. The energy relative to the elements is 0.15 eV per formula unit.

a b c (Å): 3.6759 6.3577 10.9784
angles (deg): 84.13 89.93 73.22
Last column: nearest neighbours and their distance in Å.
Element x y z (fractional)
La 0.0000 0.0000 0.0000  6 Nd 3.65-3.69, 4 Dy 3.65-3.66, 2 La 3.68
La 0.1446 0.7128 0.5709  5 Dy 3.65-3.69, 5 La 3.65-3.68, 2 Nd 3.66
La 0.8554 0.2872 0.4291  5 Dy 3.65-3.69, 5 La 3.65-3.68, 2 Nd 3.66
Nd 0.2852 0.4307 0.1432  5 La 3.65-3.69, 4 Nd 3.66-3.68, 3 Dy 3.66-3.67
Nd 0.7148 0.5693 0.8568  5 La 3.65-3.69, 4 Nd 3.66-3.68, 3 Dy 3.66-3.67
Dy 0.4282 0.1436 0.7146  7 La 3.65-3.69, 3 Nd 3.66-3.67, 2 Dy 3.68
Dy 0.5718 0.8564 0.2854  7 La 3.65-3.69, 3 Nd 3.66-3.67, 2 Dy 3.68

=====

Record 7
Nd8Dy2Y: relaxed, PBE.

For the total energy, the calculation gives -0.1738 hartree per atom. For the energy above the most stable polymorph in this dataset, the calculation gives 0.000 eV/atom. The energy relative to the elements is 1.79 eV per formula unit.

a b c (Å): 9.1222 9.1222 6.7377
angles (deg): 99.40 99.40 44.01
Last column: nearest neighbours and their distance in Å.
Element x y z (fractional)
Nd 0.0937 0.0937 0.9142  8 Nd 3.39-3.79, 1 Dy 3.69
Nd 0.1504 0.6745 0.5930  5 Nd 3.25-3.58, 1 Y 3.39, 1 Dy 3.49
Nd 0.2558 0.2558 0.6811  5 Nd 3.34-3.51, 4 Dy 3.40-3.70
Nd 0.3255 0.8496 0.4070  5 Nd 3.25-3.58, 1 Y 3.39, 1 Dy 3.49
Nd 0.6745 0.1504 0.5930  5 Nd 3.25-3.58, 1 Y 3.39, 1 Dy 3.49
Nd 0.7442 0.7442 0.3189  5 Nd 3.34-3.51, 4 Dy 3.40-3.70
Nd 0.8496 0.3255 0.4070  5 Nd 3.25-3.58, 1 Y 3.39, 1 Dy 3.49
Nd 0.9063 0.9063 0.0858  8 Nd 3.39-3.79, 1 Dy 3.69
Dy 0.3024 0.3024 0.1924  7 Nd 3.40-3.70, 1 Y 3.79
Dy 0.6976 0.6976 0.8076  7 Nd 3.40-3.70, 1 Y 3.79
Y 0.5000 0.5000 0.0000  4 Nd 3.39, 2 Dy 3.79

=====

Record 8
Tb6ErTm3Sc2: relaxed, PBE.

For the total energy, the calculation gives -0.1776 hartree per atom. The energy relative to the elements is 0.43 eV per formula unit.

a b c (Å): 6.0528 6.0528 11.4923
angles (deg): 95.03 95.03 119.94
Last column: nearest neighbours and their distance in Å.
Element x y z (fractional)
Tb 0.0821 0.4177 0.7543  2 Sc 3.43, 1 Er 3.44, 6 Tb 3.48-3.52, 3 Tm 3.51-3.52
Tb 0.2466 0.2466 0.2457  2 Sc 3.43, 1 Er 3.44, 6 Tb 3.48-3.52, 3 Tm 3.51-3.52
Tb 0.4177 0.0821 0.7543  2 Sc 3.43, 1 Er 3.44, 6 Tb 3.48-3.52, 3 Tm 3.51-3.52
Tb 0.5823 0.9179 0.2457  2 Sc 3.43, 1 Er 3.44, 6 Tb 3.48-3.52, 3 Tm 3.51-3.52
Tb 0.7534 0.7534 0.7543  2 Sc 3.43, 1 Er 3.44, 6 Tb 3.48-3.52, 3 Tm 3.51-3.52
Tb 0.9179 0.5823 0.2457  2 Sc 3.43, 1 Er 3.44, 6 Tb 3.48-3.52, 3 Tm 3.51-3.52
Er 0.5000 0.5000 0.0000  6 Tb 3.44, 6 Sc 3.49-3.50
Tm 0.0000 0.0000 0.5000  6 Tm 3.49-3.50, 6 Tb 3.51-3.52
Tm 0.3332 0.6668 0.5000  6 Tm 3.49-3.50, 6 Tb 3.51-3.52
Tm 0.6668 0.3332 0.5000  6 Tm 3.49-3.50, 6 Tb 3.51-3.52
Sc 0.1667 0.8333 0.0000  6 Tb 3.43, 3 Er 3.49-3.50, 3 Sc 3.49-3.50
Sc 0.8333 0.1667 0.0000  6 Tb 3.43, 3 Er 3.49-3.50, 3 Sc 3.49-3.50

=====

Record 9
SrInHg2O: relaxed, PBE.

For the total energy, the calculation gives -0.0945 hartree per atom. The uncorrected formation energy is -2.881 eV/f.u.

a b c (Å): 5.4013 5.4013 4.6067
angles (deg): 90.00 90.00 90.00
Last column: nearest neighbours and their distance in Å.
Element x y z (fractional)
Sr 0.0000 0.0000 0.0000  2 O 2.30
In 0.5000 0.5000 0.0000  8 Hg 3.55, 4 Sr 3.82
Hg 0.0000 0.5000 0.5000  2 O 2.70
Hg 0.5000 0.0000 0.5000  2 O 2.70
O 0.0000 0.0000 0.5000  2 Sr 2.30

=====

Record 10
Pr2PPd6: relaxed, PBE.

For the total energy, the calculation gives -0.2175 hartree per atom. The energy relative to the elements is -7.15 eV per formula unit.

a b c (Å): 6.2123 6.2123 6.2123
angles (deg): 59.93 59.93 59.93
Last column: nearest neighbours and their distance in Å.
Element x y z (fractional)
Pr 0.2501 0.2501 0.2501  12 Pd 3.11
Pr 0.7499 0.7499 0.7499  12 Pd 3.11
P 0.0000 0.0000 0.0000  6 Pd 2.36
Pd 0.2683 0.2683 0.7322  1 P 2.36
Pd 0.2683 0.7322 0.2683  1 P 2.36
Pd 0.2678 0.7317 0.7317  1 P 2.36
Pd 0.7322 0.2683 0.2683  1 P 2.36
Pd 0.7317 0.2678 0.7317  1 P 2.36
Pd 0.7317 0.7317 0.2678  1 P 2.36

=====

Record 11
Mg2PaBi: relaxed, PBE.

For the total energy, the calculation gives -0.1474 hartree per atom. For the energy above the most stable polymorph in this dataset, the calculation gives 0.000 eV/atom. The energy relative to the elements is 0.53 eV per formula unit.

a b c (Å): 3.2127 3.2127 10.0635
angles (deg): 90.00 90.00 90.00
Last column: nearest neighbours and their distance in Å.
Element x y z (fractional)
Mg 0.0000 0.0000 0.2467  4 Mg 3.21, 4 Pa 3.36, 4 Bi 3.41
Mg 0.0000 0.0000 0.7533  4 Mg 3.21, 4 Pa 3.36, 4 Bi 3.41
Pa 0.5000 0.5000 0.0000  4 Pa 3.21, 8 Mg 3.36
Bi 0.5000 0.5000 0.5000  4 Bi 3.21, 8 Mg 3.41

=====

Record 12
In2IrOs: relaxed, PBE.

For the total energy, the calculation gives -0.2203 hartree per atom. The energy relative to the elements is 1.59 eV per formula unit.

a b c (Å): 4.7428 4.7428 5.2334
angles (deg): 100.46 100.46 37.15
Last column: nearest neighbours and their distance in Å.
Element x y z (fractional)
In 0.2495 0.2495 0.2485  3 Os 2.81, 3 Ir 2.81-2.82, 6 In 3.01-3.03
In 0.7505 0.7505 0.7515  3 Os 2.81, 3 Ir 2.81-2.82, 6 In 3.01-3.03
Ir 0.0000 0.0000 0.5000  6 In 2.81-2.82, 4 Os 3.02, 2 Ir 3.02
Os 0.5000 0.5000 0.0000  6 In 2.81, 4 Ir 3.02, 2 Os 3.02

=====

Record 13
Pm4Cd3Co: relaxed, PBE.

For the total energy, the calculation gives -0.1410 hartree per atom. The energy relative to the elements is -1.83 eV per formula unit.

a b c (Å): 3.5430 3.5430 16.6314
angles (deg): 90.00 90.00 90.00
Last column: nearest neighbours and their distance in Å.
Element x y z (fractional)
Pm 0.0000 0.0000 0.1000  4 Co 3.01, 1 Pm 3.33
Pm 0.0000 0.0000 0.3666  8 Cd 3.31-3.35, 4 Pm 3.54
Pm 0.0000 0.0000 0.6334  8 Cd 3.31-3.35, 4 Pm 3.54
Pm 0.0000 0.0000 0.9000  4 Co 3.01, 1 Pm 3.33
Cd 0.5000 0.5000 0.2363  8 Pm 3.31-3.38, 4 Cd 3.54
Cd 0.5000 0.5000 0.5000  8 Pm 3.35, 4 Cd 3.54
Cd 0.5000 0.5000 0.7637  8 Pm 3.31-3.38, 4 Cd 3.54
Co 0.5000 0.5000 0.0000  8 Pm 3.01